{
  "formula": "TaGaO3",
  "functional": "PBE-GGA",
  "state": "relaxed",
  "lattice": [[3.966, 0.000, 0.000], [0.000, 3.966, 0.000], [0.000, 0.000, 4.044]],
  "species": ["Ta", "Ga", "O", "O", "O"],
  "frac_coords": [[0.000, 0.000, 0.000], [0.500, 0.500, 0.531], [0.000, 0.000, 0.465], [0.000, 0.500, 0.946], [0.500, 0.000, 0.946]],
  "crystal_system": "tetragonal",
  "e_tot_ev_per_atom": -8.09,
  "rho_g_cm3": 7.8,
  "sg": "P4mm"
}

=====

{
  "formula": "TcSe2",
  "functional": "PBE-GGA",
  "state": "relaxed",
  "lattice": [[6.248, 0.000, 0.000], [0.000, 6.175, 0.000], [-2.471, 0.000, 5.811]],
  "species": ["Tc", "Tc", "Tc", "Tc", "Se", "Se", "Se", "Se", "Se", "Se", "Se", "Se"],
  "frac_coords": [[0.225, 0.001, 0.209], [0.225, 0.499, 0.709], [0.775, 0.501, 0.291], [0.775, 0.999, 0.791], [0.153, 0.637, 0.324], [0.153, 0.863, 0.824], [0.352, 0.130, 0.625], [0.352, 0.370, 0.125], [0.648, 0.630, 0.875], [0.648, 0.870, 0.375], [0.847, 0.137, 0.176], [0.847, 0.363, 0.676]],
  "crystal_system": "monoclinic",
  "e_tot_ev_per_atom": -6.19,
  "rho_g_cm3": 7.6,
  "sg": "P2_1/c"
}

=====

{
  "formula": "NaSrSmSe3",
  "functional": "PBE-GGA",
  "state": "relaxed",
  "lattice": [[2.165, -6.968, 0.000], [2.165, 6.968, 0.000], [0.000, 0.000, 10.976]],
  "species": ["Na", "Na", "Sr", "Sr", "Sm", "Sm", "Se", "Se", "Se", "Se", "Se", "Se"],
  "frac_coords": [[0.022, 0.978, 0.750], [0.978, 0.022, 0.250], [0.250, 0.750, 0.250], [0.750, 0.250, 0.750], [0.500, 0.500, 0.000], [0.500, 0.500, 0.500], [0.140, 0.860, 0.555], [0.140, 0.860, 0.945], [0.409, 0.591, 0.750], [0.591, 0.409, 0.250], [0.860, 0.140, 0.055], [0.860, 0.140, 0.445]],
  "crystal_system": "orthorhombic",
  "e_above_lowest_polymorph_ev_per_atom": 0.1291,
  "rho_g_cm3": 5.0,
  "sg": "Cmcm"
}

=====

{
  "formula": "NpAlNi",
  "functional": "PBE-GGA",
  "state": "relaxed",
  "lattice": [[0.000, 3.038, 3.038], [3.038, 0.000, 3.038], [3.038, 3.038, 0.000]],
  "species": ["Np", "Al", "Ni"],
  "frac_coords": [[0.000, 0.000, 0.000], [0.500, 0.500, 0.500], [0.250, 0.250, 0.250]],
  "crystal_system": "cubic",
  "e_tot_ev_per_atom": -7.30,
  "rho_g_cm3": 9.6,
  "sg": "F-43m"
}

=====

{
  "formula": "MgZnCoPb",
  "functional": "PBE-GGA",
  "state": "relaxed",
  "lattice": [[0.000, 3.249, 3.249], [3.249, 0.000, 3.249], [3.249, 3.249, 0.000]],
  "species": ["Mg", "Zn", "Co", "Pb"],
  "frac_coords": [[0.000, 0.000, 0.000], [0.750, 0.750, 0.750], [0.500, 0.500, 0.500], [0.250, 0.250, 0.250]],
  "crystal_system": "cubic",
  "e_above_lowest_polymorph_ev_per_atom": 0.0000,
  "rho_g_cm3": 8.6,
  "sg": "F-43m"
}

=====

{
  "formula": "PmSnNO",
  "functional": "PBE-GGA",
  "state": "relaxed",
  "lattice": [[3.490, 0.000, 0.000], [0.000, 6.327, 0.000], [0.000, 0.000, 6.131]],
  "species": ["Pm", "Pm", "Sn", "Sn", "N", "N", "O", "O"],
  "frac_coords": [[0.000, 0.115, 0.000], [0.000, 0.885, 0.500], [0.500, 0.380, 0.494], [0.500, 0.620, 0.994], [0.000, 0.239, 0.363], [0.000, 0.761, 0.863], [0.500, 0.102, 0.728], [0.500, 0.898, 0.228]],
  "crystal_system": "orthorhombic",
  "e_above_lowest_polymorph_ev_per_atom": 0.0000,
  "rho_g_cm3": 7.2,
  "sg": "Pmc2_1"
}

=====

{
  "formula": "Li4In2GaPd",
  "functional": "PBE-GGA",
  "state": "relaxed",
  "lattice": [[4.515, 0.000, 0.000], [0.000, 4.515, 0.000], [0.000, 0.000, 6.566]],
  "species": ["Li", "Li", "Li", "Li", "In", "In", "Ga", "Pd"],
  "frac_coords": [[0.000, 0.000, 0.000], [0.000, 0.500, 0.744], [0.500, 0.000, 0.256], [0.500, 0.500, 0.500], [0.000, 0.500, 0.258], [0.500, 0.000, 0.742], [0.500, 0.500, 0.000], [0.000, 0.000, 0.500]],
  "crystal_system": "tetragonal",
  "e_tot_ev_per_atom": -3.08,
  "rho_g_cm3": 5.4,
  "sg": "P-4m2"
}

=====

{
  "formula": "IrO3",
  "functional": "PBE-GGA",
  "state": "relaxed",
  "lattice": [[5.061, 0.000, 0.000], [-2.398, 4.523, 0.000], [-0.451, -1.228, 8.923]],
  "species": ["Ir", "Ir", "Ir", "Ir", "O", "O", "O", "O", "O", "O", "O", "O", "O", "O", "O", "O"],
  "frac_coords": [[0.000, 0.000, 0.000], [0.094, 0.773, 0.442], [0.534, 0.858, 0.717], [0.651, 0.338, 0.003], [0.077, 0.079, 0.381], [0.179, 0.560, 0.608], [0.322, 0.977, 0.874], [0.344, 0.724, 0.328], [0.346, 0.322, 0.120], [0.439, 0.079, 0.590], [0.646, 0.647, 0.880], [0.737, 0.084, 0.118], [0.762, 0.439, 0.391], [0.827, 0.832, 0.622], [0.887, 0.224, 0.862], [0.979, 0.693, 0.110]],
  "crystal_system": "triclinic",
  "e_tot_ev_per_atom": -6.27,
  "rho_g_cm3": 7.8,
  "sg": "P1"
}